Density functional theory data (PBE-GGA) for an optimized crystal structure of TaAl2Pt9.

Calculated values
The calculated total energy is -6.883 eV/atom. Its space-group type is P4/mmm (123). As for the total magnetic moment: 0.0 μB per formula unit. The formation energy is -0.741 eV/atom. The density of states at the Fermi level comes out at 0.438 states/eV/atom.

```
12
Lattice="3.9544 0.0000 0.0000 0.0000 3.9544 0.0000 0.0000 0.0000 11.8179" Properties=species:S:1:pos:R:3 pbc="T T T"
Ta 0.0000 0.0000 0.0000
Al 0.0000 0.0000 4.0451
Al 0.0000 0.0000 7.7729
Pt 0.0000 1.9772 1.9661
Pt 0.0000 1.9772 5.9090
Pt 0.0000 1.9772 9.8519
Pt 1.9772 0.0000 1.9661
Pt 1.9772 0.0000 5.9090
Pt 1.9772 0.0000 9.8519
Pt 1.9772 1.9772 0.0000
Pt 1.9772 1.9772 3.9439
Pt 1.9772 1.9772 7.8740
```